Model P:
Compound: Ta3TlRe
Source: Alexandria via LeMat-Bulk
Functional: GGA-PBE
Structure: relaxed

a b c (Å): 4.964 4.964 4.964
angles (deg): 90.00 90.00 90.00
Fractional coordinates of all 5 atoms:
Re  0.500  0.500  0.500
Tl  0.000  0.000  0.000
Ta  0.000  0.500  0.000
Ta  0.000  0.000  0.500
Ta  0.500  0.000  0.000

Summary:
symmetry: No. 221
M_tot: 0.104 μB per atom

---

Model Q:
Compound: Ta3TlRe
Source: Alexandria via LeMat-Bulk
Functional: GGA-PBE
Structure: relaxed

a b c (Å): 4.893 4.893 4.893
angles (deg): 90.00 90.00 90.00
Fractional coordinates of all 5 atoms:
Re  0.000  0.000  0.000
Tl  0.500  0.500  0.500
Ta  0.000  0.500  0.000
Ta  0.000  0.000  0.500
Ta  0.500  0.000  0.000

Summary:
symmetry: No. 221
M_tot: 0.000 μB per atom

---

In order of decreasing stability: model Q, model P.

---

Model P:
Compound: TaV3Re
Source: Alexandria via LeMat-Bulk
Functional: GGA-PBE
Structure: relaxed

a b c (Å): 5.170 5.129 5.707
angles (deg): 90.00 90.45 90.00
Fractional coordinates of all 10 atoms:
Ta  0.629  0.750  0.365
Ta  0.371  0.250  0.635
V  0.863  0.997  0.819
V  0.137  0.003  0.181
V  0.863  0.503  0.819
V  0.137  0.497  0.181
V  0.132  0.750  0.549
V  0.868  0.250  0.451
Re  0.422  0.750  0.896
Re  0.578  0.250  0.104

Summary:
symmetry: No. 11
M_tot: 0.000 μB per atom

---

Model Q:
Compound: TaV3Re
Source: Alexandria via LeMat-Bulk
Functional: GGA-PBE
Structure: relaxed

a b c (Å): 4.488 4.488 4.488
angles (deg): 90.00 90.00 90.00
Fractional coordinates of all 5 atoms:
Re  0.500  0.500  0.500
Ta  0.000  0.000  0.000
V  0.000  0.500  0.000
V  0.000  0.000  0.500
V  0.500  0.000  0.000

Summary:
symmetry: No. 221
M_tot: 0.097 μB per atom

---

Model R:
Compound: TaV3Re
Source: Alexandria via LeMat-Bulk
Functional: GGA-PBE
Structure: relaxed

a b c (Å): 3.006 6.914 7.882
angles (deg): 107.72 100.99 90.00
Fractional coordinates of all 10 atoms:
Ta  0.881  0.847  0.762
Ta  0.119  0.153  0.238
V  0.049  0.726  0.098
V  0.951  0.274  0.902
V  0.312  0.100  0.624
V  0.688  0.900  0.376
V  0.227  0.631  0.455
V  0.773  0.369  0.545
Re  0.590  0.457  0.180
Re  0.410  0.543  0.820

Summary:
symmetry: No. 12
M_tot: 0.000 μB per atom

---

In order of decreasing stability: model R, model P, model Q.

---

Model P:
Compound: Ta6VRe
Source: Alexandria via LeMat-Bulk
Functional: GGA-PBE
Structure: relaxed

a b c (Å): 4.573 4.573 7.337
angles (deg): 71.84 71.84 90.00
Fractional coordinates of all 8 atoms:
Ta  0.747  0.747  0.506
Ta  0.619  0.119  0.763
Ta  0.119  0.619  0.763
Ta  0.381  0.881  0.237
Ta  0.253  0.253  0.494
Ta  0.881  0.381  0.237
V  0.500  0.500  0.000
Re  0.000  0.000  0.000

Summary:
symmetry: No. 139
M_tot: 0.000 μB per atom

---

Model Q:
Compound: Ta6VRe
Source: Alexandria via LeMat-Bulk
Functional: GGA-PBE
Structure: relaxed

a b c (Å): 5.752 5.752 5.752
angles (deg): 110.35 110.35 110.35
Fractional coordinates of all 8 atoms:
Ta  0.250  0.750  0.250
Ta  0.250  0.250  0.750
Ta  0.750  0.250  0.750
Ta  0.250  0.750  0.750
Ta  0.750  0.750  0.250
Ta  0.750  0.250  0.250
V  0.500  0.500  0.500
Re  0.000  0.000  0.000

Summary:
symmetry: No. 166
M_tot: 0.000 μB per atom

---

In order of decreasing stability: model P, model Q.

---

Model P:
Compound: TaRe2W
Source: Alexandria via LeMat-Bulk
Functional: GGA-PBE
Structure: relaxed

a b c (Å): 4.488 4.488 4.488
angles (deg): 60.00 60.00 60.00
Fractional coordinates of all 4 atoms:
Re  0.250  0.250  0.250
Re  0.750  0.750  0.750
W  0.500  0.500  0.500
Ta  0.000  0.000  0.000

Summary:
symmetry: No. 225
M_tot: 0.000 μB per atom

---

Model Q:
Compound: TaRe2W
Source: Alexandria via LeMat-Bulk
Functional: GGA-PBE
Structure: relaxed

a b c (Å): 2.757 2.757 8.980
angles (deg): 90.00 90.00 110.07
Fractional coordinates of all 4 atoms:
Re  0.000  0.000  0.001
Re  0.500  0.500  0.246
Ta  0.000  0.000  0.497
W  0.500  0.500  0.756

Summary:
symmetry: No. 35
M_tot: 0.000 μB per atom

---

Model R:
Compound: TaRe2W
Source: Alexandria via LeMat-Bulk
Functional: GGA-PBE
Structure: relaxed

a b c (Å): 4.451 2.766 5.266
angles (deg): 80.35 90.00 90.00
Fractional coordinates of all 4 atoms:
Re  0.000  0.998  0.997
Re  0.000  0.502  0.503
Ta  0.500  0.250  0.250
W  0.500  0.750  0.750

Summary:
symmetry: No. 10
M_tot: 0.000 μB per atom

---

In order of decreasing stability: model P, model R, model Q.

---

Model P:
Compound: TaRe2W
Source: Alexandria via LeMat-Bulk
Functional: GGA-PBE
Structure: relaxed

a b c (Å): 5.253 5.253 5.253
angles (deg): 145.00 128.92 63.43
Fractional coordinates of all 4 atoms:
Re  0.001  0.001  0.000
Re  0.499  0.499  0.000
Ta  0.750  0.250  0.500
W  0.250  0.750  0.500

Summary:
symmetry: No. 71
M_tot: 0.000 μB per atom

---

Model Q:
Compound: TaRe2W
Source: Alexandria via LeMat-Bulk
Functional: GGA-PBE
Structure: relaxed

a b c (Å): 2.803 2.803 8.315
angles (deg): 90.00 90.00 90.00
Fractional coordinates of all 4 atoms:
Re  0.000  0.000  0.012
Re  0.500  0.500  0.230
Ta  0.000  0.000  0.491
W  0.500  0.500  0.766

Summary:
symmetry: No. 99
M_tot: 0.000 μB per atom

---

In order of decreasing stability: model P, model Q.

---

Model P:
Compound: TaRe2W
Source: Alexandria via LeMat-Bulk
Functional: GGA-PBE
Structure: relaxed

a b c (Å): 3.163 4.526 4.464
angles (deg): 90.00 90.00 90.00
Fractional coordinates of all 4 atoms:
Re  0.000  0.000  0.000
Re  0.500  0.500  0.000
Ta  0.500  0.000  0.500
W  0.000  0.500  0.500

Summary:
symmetry: No. 47
M_tot: 0.000 μB per atom

---

Model Q:
Compound: TaRe2W
Source: Alexandria via LeMat-Bulk
Functional: GGA-PBE
Structure: relaxed

a b c (Å): 4.484 2.767 5.254
angles (deg): 79.18 90.00 90.00
Fractional coordinates of all 4 atoms:
Re  0.000  0.986  0.992
Re  0.500  0.264  0.255
Ta  0.000  0.501  0.493
W  0.500  0.750  0.759

Summary:
symmetry: No. 6
M_tot: 0.000 μB per atom

---

Model R:
Compound: TaRe2W
Source: Alexandria via LeMat-Bulk
Functional: GGA-PBE
Structure: relaxed

a b c (Å): 9.693 9.693 9.693
angles (deg): 16.66 16.66 16.66
Fractional coordinates of all 4 atoms:
Re  0.997  0.997  0.997
Re  0.255  0.255  0.255
Ta  0.502  0.502  0.502
W  0.746  0.746  0.746

Summary:
symmetry: No. 160
M_tot: 0.000 μB per atom

---

In order of decreasing stability: model P, model Q, model R.